The following is a GGA-PBEsol calculation of a relaxed structure of OsPdNO2, from the Alexandria database.

Results
- Space group: No. 123
- Density of states at the Fermi level: 4.092 states/eV per cell
- VASP energy: -7.270 eV per atom
- Raw formation energy: 169.7 meV/atom

Cell: 3.8058 3.8058 3.8677 Å, 90.00 90.00 90.00°
Last column: nearest neighbours and their distance in Å.
Positions (direct):
Os (0.0000, 0.0000, 0.0000)  4 O 1.90, 2 N 1.93
Pd (0.5000, 0.5000, 0.5000)  4 N 2.69, 8 O 2.71
N (0.0000, 0.0000, 0.5000)  2 Os 1.93
O (0.0000, 0.5000, 0.0000)  2 Os 1.90
O (0.5000, 0.0000, 0.0000)  2 Os 1.90